[1]
Computed, not measured: crystalline La3Fe at its relaxed geometry at the PBE level of DFT.

```
data_La3Fe
_symmetry_space_group_name_H-M 'P 1'
_symmetry_Int_Tables_number 1
_cell_length_a 6.135
_cell_length_b 6.135
_cell_length_c 6.135
_cell_angle_alpha 90.00
_cell_angle_beta 90.00
_cell_angle_gamma 90.00
loop_
_symmetry_equiv_pos_as_xyz
'x,y,z'
loop_
_atom_site_label
_atom_site_type_symbol
_atom_site_fract_x
_atom_site_fract_y
_atom_site_fract_z
La1 La 0.000 0.750 0.500
La2 La 0.750 0.500 0.000
La3 La 0.500 0.000 0.750
Fe1 Fe 0.000 0.000 0.000
La4 La 0.250 0.500 0.000
La5 La 0.000 0.250 0.500
La6 La 0.500 0.000 0.250
Fe2 Fe 0.500 0.500 0.500
```

Results
**Energy relative to the elements**: 401 meV per atom
**M_tot**: 1.25 μB per formula unit
**VASP energy**: -5.4107 eV/atom



[2]
Computed, not measured: crystalline La4Fe5 at its relaxed geometry at the PBE level of DFT.

```
data_La4Fe5
_symmetry_space_group_name_H-M 'P 1'
_symmetry_Int_Tables_number 1
_cell_length_a 8.582
_cell_length_b 8.582
_cell_length_c 6.010
_cell_angle_alpha 90.00
_cell_angle_beta 90.00
_cell_angle_gamma 60.00
loop_
_symmetry_equiv_pos_as_xyz
'x,y,z'
loop_
_atom_site_label
_atom_site_type_symbol
_atom_site_fract_x
_atom_site_fract_y
_atom_site_fract_z
Fe1 Fe 0.333 0.333 0.500
La1 La 0.623 0.377 0.250
Fe2 Fe 0.000 0.677 0.750
Fe3 Fe 0.323 0.677 0.250
Fe4 Fe 0.667 0.667 0.500
Fe5 Fe 0.323 0.000 0.750
Fe6 Fe 0.677 0.323 0.750
Fe7 Fe 0.333 0.333 0.000
Fe8 Fe 0.000 0.323 0.250
La2 La 0.623 0.000 0.750
La3 La 0.377 0.000 0.250
La4 La 0.377 0.623 0.750
La5 La 0.000 0.000 0.000
Fe9 Fe 0.677 0.000 0.250
La6 La 0.000 0.000 0.500
Fe10 Fe 0.667 0.667 0.000
La7 La 0.000 0.377 0.750
La8 La 0.000 0.623 0.250
```

Results
**Energy relative to the elements**: 506 meV per atom
**M_tot**: 8.86 μB per formula unit
**VASP energy**: -6.3857 eV/atom



[3]
Computed, not measured: crystalline LaFe at its relaxed geometry at the PBE level of DFT.

```
data_LaFe
_symmetry_space_group_name_H-M 'P 1'
_symmetry_Int_Tables_number 1
_cell_length_a 3.529
_cell_length_b 4.476
_cell_length_c 6.410
_cell_angle_alpha 110.44
_cell_angle_beta 105.98
_cell_angle_gamma 90.00
loop_
_symmetry_equiv_pos_as_xyz
'x,y,z'
loop_
_atom_site_label
_atom_site_type_symbol
_atom_site_fract_x
_atom_site_fract_y
_atom_site_fract_z
La1 La 0.483 0.567 0.967
La2 La 0.267 0.850 0.533
Fe1 Fe 0.061 0.145 0.122
Fe2 Fe 0.689 0.272 0.378
```

Results
**Energy relative to the elements**: 160 meV per atom
**M_tot**: 1.42 μB per formula unit
**VASP energy**: -6.5350 eV/atom